A plane-wave DFT calculation with PBE was carried out for a relaxed structure of BaGaPI2.

- energy relative to the elements, uncorrected (eV/atom) = -0.334
- space group = P4/mmm (123)

abc: 6.0356 4.6893 6.0356
angles: 90.00 90.00 90.00
Element x y z (fractional)
I (0.0000, 0.0000, 0.5000)
I (0.5000, 0.0000, 0.0000)
Ga (0.0000, 0.5000, 0.0000)
Ba (0.5000, 0.5000, 0.5000)
P (0.0000, 0.0000, 0.0000)